Entry 1:
Entry from Alexandria: a PBEsol-optimized structure of ScSnBP2 (meta-GGA SCAN).

Crystal system   tetragonal
Size of the total moment   0.00 μB per cell
D(E_F)   0.63 states/eV/atom
Formation enthalpy at 0 K   6.468 eV per formula unit
Density   3.15 g cm⁻³

Structure (CIF):
```
data_ScSnBP2
_symmetry_space_group_name_H-M 'P 4/m m m'
_symmetry_Int_Tables_number 123
_symmetry_space_group_name_Hall '-P 4 2'
_cell_length_a 4.794
_cell_length_b 4.794
_cell_length_c 5.431
_cell_angle_alpha 90.00
_cell_angle_beta 90.00
_cell_angle_gamma 90.00
loop_
_atom_site_label
_atom_site_fract_x
_atom_site_fract_y
_atom_site_fract_z
Sc1 0.000 0.000 0.000
Sn1 0.000 0.000 0.500
B1 0.500 0.500 0.500
P1 0.000 0.500 0.000
```


Entry 2:
Entry from Alexandria: a PBEsol-optimized structure of BP2Se (meta-GGA SCAN).

Crystal system   tetragonal
Size of the total moment   0.00 μB per cell
D(E_F)   0.43 states/eV/atom
E_form (uncorrected)   0.29 eV/atom
Density   4.08 g cm⁻³

Structure (CIF):
```
data_BP2Se
_symmetry_space_group_name_H-M 'I -4 2 d'
_symmetry_Int_Tables_number 122
_symmetry_space_group_name_Hall 'I -4 2bw'
_cell_length_a 5.652
_cell_length_b 5.652
_cell_length_c 7.730
_cell_angle_alpha 90.00
_cell_angle_beta 90.00
_cell_angle_gamma 90.00
loop_
_atom_site_label
_atom_site_fract_x
_atom_site_fract_y
_atom_site_fract_z
B1 0.000 0.000 0.000
P1 0.168 0.250 0.125
Se1 0.000 0.000 0.500
```


Entry 3:
Entry from Alexandria: a PBEsol-optimized structure of SnBP2 (meta-GGA SCAN).

Crystal system   cubic
Size of the total moment   0.00 μB per cell
D(E_F)   0.49 states/eV/atom
Formation enthalpy at 0 K   5.534 eV per formula unit
Density   5.11 g cm⁻³

Structure (CIF):
```
data_SnBP2
_symmetry_space_group_name_H-M 'F m -3 m'
_symmetry_Int_Tables_number 225
_symmetry_space_group_name_Hall '-F 4 2 3'
_cell_length_a 6.291
_cell_length_b 6.291
_cell_length_c 6.291
_cell_angle_alpha 90.00
_cell_angle_beta 90.00
_cell_angle_gamma 90.00
loop_
_atom_site_label
_atom_site_fract_x
_atom_site_fract_y
_atom_site_fract_z
Sn1 0.000 0.000 0.000
B1 0.000 0.000 0.500
P1 0.250 0.250 0.250
```


Entry 4:
Entry from Alexandria: a PBEsol-optimized structure of Sn3BP (meta-GGA SCAN).

Crystal system   cubic
Size of the total moment   0.00 μB per cell
D(E_F)   0.56 states/eV/atom
Formation enthalpy at 0 K   7.406 eV per formula unit
Density   5.16 g cm⁻³

Structure (CIF):
```
data_Sn3BP
_symmetry_space_group_name_H-M 'P m -3 m'
_symmetry_Int_Tables_number 221
_symmetry_space_group_name_Hall '-P 4 2 3'
_cell_length_a 5.040
_cell_length_b 5.040
_cell_length_c 5.040
_cell_angle_alpha 90.00
_cell_angle_beta 90.00
_cell_angle_gamma 90.00
loop_
_atom_site_label
_atom_site_fract_x
_atom_site_fract_y
_atom_site_fract_z
Sn1 0.000 0.000 0.500
B1 0.500 0.500 0.500
P1 0.000 0.000 0.000
```


Entry 5:
Entry from Alexandria: a PBEsol-optimized structure of SnB2TeP (meta-GGA SCAN).

Crystal system   tetragonal
Size of the total moment   0.00 μB per cell
D(E_F)   0.37 states/eV/atom
E_form (uncorrected)   1.87 eV/atom
Density   4.48 g cm⁻³

Structure (CIF):
```
data_SnB2TeP
_symmetry_space_group_name_H-M 'P 4/m m m'
_symmetry_Int_Tables_number 123
_symmetry_space_group_name_Hall '-P 4 2'
_cell_length_a 4.363
_cell_length_b 4.363
_cell_length_c 5.817
_cell_angle_alpha 90.00
_cell_angle_beta 90.00
_cell_angle_gamma 90.00
loop_
_atom_site_label
_atom_site_fract_x
_atom_site_fract_y
_atom_site_fract_z
Sn1 0.000 0.000 0.000
B1 0.000 0.500 0.000
Te1 0.000 0.000 0.500
P1 0.500 0.500 0.500
```


Entry 6:
Entry from Alexandria: a PBEsol-optimized structure of TcB3P (meta-GGA SCAN).

Crystal system   cubic
Size of the total moment   0.00 μB per cell
D(E_F)   0.69 states/eV/atom
Formation enthalpy at 0 K   8.359 eV per formula unit
Density   4.00 g cm⁻³

Structure (CIF):
```
data_TcB3P
_symmetry_space_group_name_H-M 'P m -3 m'
_symmetry_Int_Tables_number 221
_symmetry_space_group_name_Hall '-P 4 2 3'
_cell_length_a 4.061
_cell_length_b 4.061
_cell_length_c 4.061
_cell_angle_alpha 90.00
_cell_angle_beta 90.00
_cell_angle_gamma 90.00
loop_
_atom_site_label
_atom_site_fract_x
_atom_site_fract_y
_atom_site_fract_z
Tc1 0.000 0.000 0.000
B1 0.000 0.000 0.500
P1 0.500 0.500 0.500
```


Entry 7:
Entry from Alexandria: a PBEsol-optimized structure of B3TeP (meta-GGA SCAN).

Crystal system   cubic
Size of the total moment   0.00 μB per cell
D(E_F)   0.44 states/eV/atom
E_form (uncorrected)   1.36 eV/atom
Density   4.96 g cm⁻³

Structure (CIF):
```
data_B3TeP
_symmetry_space_group_name_H-M 'P m -3 m'
_symmetry_Int_Tables_number 221
_symmetry_space_group_name_Hall '-P 4 2 3'
_cell_length_a 3.998
_cell_length_b 3.998
_cell_length_c 3.998
_cell_angle_alpha 90.00
_cell_angle_beta 90.00
_cell_angle_gamma 90.00
loop_
_atom_site_label
_atom_site_fract_x
_atom_site_fract_y
_atom_site_fract_z
B1 0.000 0.000 0.500
Te1 0.500 0.500 0.500
P1 0.000 0.000 0.000
```


Entry 8:
Entry from Alexandria: a PBEsol-optimized structure of Ti2BP (meta-GGA SCAN).

Crystal system   tetragonal
Size of the total moment   0.00 μB per cell
D(E_F)   0.20 states/eV/atom
Formation enthalpy at 0 K   -1.934 eV per formula unit
Density   4.41 g cm⁻³

Structure (CIF):
```
data_Ti2BP
_symmetry_space_group_name_H-M 'I -4 2 d'
_symmetry_Int_Tables_number 122
_symmetry_space_group_name_Hall 'I -4 2bw'
_cell_length_a 6.244
_cell_length_b 6.244
_cell_length_c 5.307
_cell_angle_alpha 90.00
_cell_angle_beta 90.00
_cell_angle_gamma 90.00
loop_
_atom_site_label
_atom_site_fract_x
_atom_site_fract_y
_atom_site_fract_z
Ti1 0.228 0.750 0.125
B1 0.000 0.000 0.000
P1 0.000 0.000 0.500
```


Entry 9:
Entry from Alexandria: a PBEsol-optimized structure of Y2BP (meta-GGA SCAN).

Crystal system   cubic
Size of the total moment   0.00 μB per cell
D(E_F)   0.94 states/eV/atom
Formation enthalpy at 0 K   -1.414 eV per formula unit
Density   4.98 g cm⁻³

Structure (CIF):
```
data_Y2BP
_symmetry_space_group_name_H-M 'F m -3 m'
_symmetry_Int_Tables_number 225
_symmetry_space_group_name_Hall '-F 4 2 3'
_cell_length_a 6.639
_cell_length_b 6.639
_cell_length_c 6.639
_cell_angle_alpha 90.00
_cell_angle_beta 90.00
_cell_angle_gamma 90.00
loop_
_atom_site_label
_atom_site_fract_x
_atom_site_fract_y
_atom_site_fract_z
Y1 0.250 0.250 0.250
B1 0.000 0.000 0.000
P1 0.000 0.000 0.500
```


Entry 10:
Entry from Alexandria: a PBEsol-optimized structure of ZrBP3 (meta-GGA SCAN).

Crystal system   cubic
Size of the total moment   0.00 μB per cell
D(E_F)   0.50 states/eV/atom
Formation enthalpy at 0 K   1.886 eV per formula unit
Density   4.55 g cm⁻³

Structure (CIF):
```
data_ZrBP3
_symmetry_space_group_name_H-M 'P m -3 m'
_symmetry_Int_Tables_number 221
_symmetry_space_group_name_Hall '-P 4 2 3'
_cell_length_a 4.145
_cell_length_b 4.145
_cell_length_c 4.145
_cell_angle_alpha 90.00
_cell_angle_beta 90.00
_cell_angle_gamma 90.00
loop_
_atom_site_label
_atom_site_fract_x
_atom_site_fract_y
_atom_site_fract_z
Zr1 0.000 0.000 0.000
B1 0.500 0.500 0.500
P1 0.000 0.500 0.500
```


Entry 11:
Entry from Alexandria: a PBEsol-optimized structure of PaB3 (meta-GGA SCAN).

Crystal system   hexagonal
Size of the total moment   0.00 μB per cell
D(E_F)   0.45 states/eV/atom
Formation enthalpy at 0 K   -0.525 eV per formula unit
Density   10.12 g cm⁻³

Structure (CIF):
```
data_PaB3
_symmetry_space_group_name_H-M 'P 63/m m c'
_symmetry_Int_Tables_number 194
_symmetry_space_group_name_Hall '-P 6c 2c'
_cell_length_a 5.4195
_cell_length_b 5.4195
_cell_length_c 3.3982
_cell_angle_alpha 90.00
_cell_angle_beta 90.00
_cell_angle_gamma 120.00
loop_
_atom_site_label
_atom_site_fract_x
_atom_site_fract_y
_atom_site_fract_z
Pa1 0.3333 0.6667 0.2500
B1 0.1134 0.2267 0.7500
```


Entry 12:
Entry from Alexandria: a PBEsol-optimized structure of BPdPbSe2 (meta-GGA SCAN).

Crystal system   tetragonal
Size of the total moment   0.00 μB per cell
D(E_F)   0.53 states/eV/atom
E_form (uncorrected)   0.75 eV/atom
Density   8.53 g cm⁻³

Structure (CIF):
```
data_BPdPbSe2
_symmetry_space_group_name_H-M 'P 4/m m m'
_symmetry_Int_Tables_number 123
_symmetry_space_group_name_Hall '-P 4 2'
_cell_length_a 4.366
_cell_length_b 4.366
_cell_length_c 4.927
_cell_angle_alpha 90.00
_cell_angle_beta 90.00
_cell_angle_gamma 90.00
loop_
_atom_site_label
_atom_site_fract_x
_atom_site_fract_y
_atom_site_fract_z
B1 0.000 0.000 0.000
Pd1 0.500 0.500 0.500
Pb1 0.000 0.000 0.500
Se1 0.000 0.500 0.000
```


Entry 13:
Entry from Alexandria: a PBEsol-optimized structure of RbB3Pb (meta-GGA SCAN).

Crystal system   cubic
Size of the total moment   0.00 μB per cell
D(E_F)   0.88 states/eV/atom
Formation enthalpy at 0 K   15.937 eV per formula unit
Density   4.82 g cm⁻³

Structure (CIF):
```
data_RbB3Pb
_symmetry_space_group_name_H-M 'P m -3 m'
_symmetry_Int_Tables_number 221
_symmetry_space_group_name_Hall '-P 4 2 3'
_cell_length_a 4.819
_cell_length_b 4.819
_cell_length_c 4.819
_cell_angle_alpha 90.00
_cell_angle_beta 90.00
_cell_angle_gamma 90.00
loop_
_atom_site_label
_atom_site_fract_x
_atom_site_fract_y
_atom_site_fract_z
Rb1 0.000 0.000 0.000
B1 0.000 0.000 0.500
Pb1 0.500 0.500 0.500
```


Entry 14:
Entry from Alexandria: a PBEsol-optimized structure of B2RhPb (meta-GGA SCAN).

Crystal system   tetragonal
Size of the total moment   0.00 μB per cell
D(E_F)   0.42 states/eV/atom
Formation enthalpy at 0 K   2.392 eV per formula unit
Density   8.31 g cm⁻³

Structure (CIF):
```
data_B2RhPb
_symmetry_space_group_name_H-M 'I -4 2 d'
_symmetry_Int_Tables_number 122
_symmetry_space_group_name_Hall 'I -4 2bw'
_cell_length_a 5.144
_cell_length_b 5.144
_cell_length_c 10.023
_cell_angle_alpha 90.00
_cell_angle_beta 90.00
_cell_angle_gamma 90.00
loop_
_atom_site_label
_atom_site_fract_x
_atom_site_fract_y
_atom_site_fract_z
B1 0.161 0.250 0.125
Rh1 0.000 0.000 0.000
Pb1 0.000 0.000 0.500
```


Entry 15:
Entry from Alexandria: a PBEsol-optimized structure of BRu2Pb2 (meta-GGA SCAN).

Crystal system   tetragonal
Size of the total moment   0.00 μB per cell
D(E_F)   0.76 states/eV/atom
Formation enthalpy at 0 K   3.286 eV per formula unit
Density   10.49 g cm⁻³

Structure (CIF):
```
data_BRu2Pb2
_symmetry_space_group_name_H-M 'I 4/m m m'
_symmetry_Int_Tables_number 139
_symmetry_space_group_name_Hall '-I 4 2'
_cell_length_a 5.352
_cell_length_b 5.352
_cell_length_c 6.937
_cell_angle_alpha 90.00
_cell_angle_beta 90.00
_cell_angle_gamma 90.00
loop_
_atom_site_label
_atom_site_fract_x
_atom_site_fract_y
_atom_site_fract_z
B1 0.000 0.000 0.000
Ru1 0.000 0.000 0.273
Pb1 0.000 0.500 0.250
```


Entry 16:
Entry from Alexandria: a PBEsol-optimized structure of BRuPb3 (meta-GGA SCAN).

Crystal system   cubic
Size of the total moment   1.74 μB per cell
D(E_F)   0.63 states/eV/atom
Formation enthalpy at 0 K   6.424 eV per formula unit
Density   11.09 g cm⁻³

Structure (CIF):
```
data_BRuPb3
_symmetry_space_group_name_H-M 'P m -3 m'
_symmetry_Int_Tables_number 221
_symmetry_space_group_name_Hall '-P 4 2 3'
_cell_length_a 4.789
_cell_length_b 4.789
_cell_length_c 4.789
_cell_angle_alpha 90.00
_cell_angle_beta 90.00
_cell_angle_gamma 90.00
loop_
_atom_site_label
_atom_site_fract_x
_atom_site_fract_y
_atom_site_fract_z
B1 0.000 0.000 0.000
Ru1 0.500 0.500 0.500
Pb1 0.000 0.000 0.500
```


Entry 17:
Entry from Alexandria: a PBEsol-optimized structure of B3PbS (meta-GGA SCAN).

Crystal system   cubic
Size of the total moment   0.00 μB per cell
D(E_F)   0.41 states/eV/atom
E_form (uncorrected)   1.72 eV/atom
Density   7.13 g cm⁻³

Structure (CIF):
```
data_B3PbS
_symmetry_space_group_name_H-M 'P m -3 m'
_symmetry_Int_Tables_number 221
_symmetry_space_group_name_Hall '-P 4 2 3'
_cell_length_a 3.984
_cell_length_b 3.984
_cell_length_c 3.984
_cell_angle_alpha 90.00
_cell_angle_beta 90.00
_cell_angle_gamma 90.00
loop_
_atom_site_label
_atom_site_fract_x
_atom_site_fract_y
_atom_site_fract_z
B1 0.000 0.000 0.500
Pb1 0.500 0.500 0.500
S1 0.000 0.000 0.000
```


Entry 18:
Entry from Alexandria: a PBEsol-optimized structure of Sc3BPb (meta-GGA SCAN).

Crystal system   cubic
Size of the total moment   0.00 μB per cell
D(E_F)   0.23 states/eV/atom
Formation enthalpy at 0 K   -3.414 eV per formula unit
Density   5.90 g cm⁻³

Structure (CIF):
```
data_Sc3BPb
_symmetry_space_group_name_H-M 'P m -3 m'
_symmetry_Int_Tables_number 221
_symmetry_space_group_name_Hall '-P 4 2 3'
_cell_length_a 4.630
_cell_length_b 4.630
_cell_length_c 4.630
_cell_angle_alpha 90.00
_cell_angle_beta 90.00
_cell_angle_gamma 90.00
loop_
_atom_site_label
_atom_site_fract_x
_atom_site_fract_y
_atom_site_fract_z
Sc1 0.000 0.000 0.500
B1 0.000 0.000 0.000
Pb1 0.500 0.500 0.500
```


Entry 19:
Entry from Alexandria: a PBEsol-optimized structure of Sc2BPb (meta-GGA SCAN).

Crystal system   trigonal
Size of the total moment   0.00 μB per cell
D(E_F)   1.20 states/eV/atom
Formation enthalpy at 0 K   -0.572 eV per formula unit
Density   5.59 g cm⁻³

Structure (CIF):
```
data_Sc2BPb
_symmetry_space_group_name_H-M 'R -3 m'
_symmetry_Int_Tables_number 166
_symmetry_space_group_name_Hall '-R 3 2"'
_cell_length_a 3.5072
_cell_length_b 3.5072
_cell_length_c 25.7818
_cell_angle_alpha 90.00
_cell_angle_beta 90.00
_cell_angle_gamma 120.00
loop_
_atom_site_label
_atom_site_fract_x
_atom_site_fract_y
_atom_site_fract_z
Sc1 0.0000 0.0000 0.1199
B1 0.0000 0.0000 0.5000
Pb1 0.0000 0.0000 0.0000
```


Entry 20:
Entry from Alexandria: a PBEsol-optimized structure of BPbSe3 (meta-GGA SCAN).

Crystal system   cubic
Size of the total moment   0.00 μB per cell
D(E_F)   0.40 states/eV/atom
E_form (uncorrected)   0.40 eV/atom
Density   7.84 g cm⁻³

Structure (CIF):
```
data_BPbSe3
_symmetry_space_group_name_H-M 'P m -3 m'
_symmetry_Int_Tables_number 221
_symmetry_space_group_name_Hall '-P 4 2 3'
_cell_length_a 4.585
_cell_length_b 4.585
_cell_length_c 4.585
_cell_angle_alpha 90.00
_cell_angle_beta 90.00
_cell_angle_gamma 90.00
loop_
_atom_site_label
_atom_site_fract_x
_atom_site_fract_y
_atom_site_fract_z
B1 0.000 0.000 0.000
Pb1 0.500 0.500 0.500
Se1 0.000 0.000 0.500
```


| no. | uncorrected energy (eV per atom) |
| --- | --- |
| 1 | -14.383 |
| 2 | -11.783 |
| 3 | -14.654 |
| 4 | -23.637 |
| 5 | -17.817 |
| 6 | -11.878 |
| 7 | -12.627 |
| 8 | -12.956 |
| 9 | -18.732 |
| 10 | -13.488 |
| 11 | -30.620 |
| 12 | -30.479 |
| 13 | -20.574 |
| 14 | -30.505 |
| 15 | -45.072 |
| 16 | -52.635 |
| 17 | -19.818 |
| 18 | -25.867 |
| 19 | -28.064 |
| 20 | -28.284 |